# 1
{"formula": "RuPbBr2", "functional": "PBE", "state": "optimized geometry", "polymorph_energy_ev_per_atom": 0.448, "total_magnetization_mub_per_atom": 0.82, "raw_formation_energy_ev_per_atom": 0.43, "cell": [[3.357, 0.000, 0.000], [0.000, 3.357, 0.000], [0.000, 0.000, 8.920]], "species": ["Ru", "Pb", "Br", "Br"], "fractional_positions": [[0.000, 0.000, 0.000], [0.000, 0.000, 0.500], [0.500, 0.500, 0.191], [0.500, 0.500, 0.809]]}


# 2
{"formula": "Re4NiAg", "functional": "PBE", "state": "optimized geometry", "delta_e_f_mev_per_atom": 753, "total_magnetization_mub_per_atom": 0.00, "cell": [[0.000, 3.658, 3.658], [3.658, 0.000, 3.658], [3.658, 3.658, 0.000]], "species": ["Re", "Re", "Re", "Re", "Ni", "Ag"], "fractional_positions": [[0.125, 0.125, 0.125], [0.125, 0.125, 0.624], [0.125, 0.624, 0.125], [0.624, 0.125, 0.125], [0.500, 0.500, 0.500], [0.750, 0.750, 0.750]]}